Entry 1:
First-principles (PBEsol) data for Dy2NbGaO7 after structural relaxation, as listed in Alexandria. Values from VASP.

Output
density	7.6	g/cm3
ΔE_f (raw)	-2.9158	eV/atom
density of states at the Fermi level	0.0000	states/eV per atom

Quantum ESPRESSO input file:
```
&SYSTEM
  ibrav = 0, nat = 22, ntyp = 4
/
ATOMIC_SPECIES
Dy 162.50 Dy.upf
Nb 92.91 Nb.upf
Ga 69.72 Ga.upf
O 16.00 O.upf
CELL_PARAMETERS angstrom
-3.5417 3.6482 5.0948
3.5417 -3.6482 5.0948
3.5417 3.6482 -5.0948
ATOMIC_POSITIONS crystal
Dy 0.0000 0.0000 0.0000
Dy 0.5000 0.0000 0.0000
Dy 0.5000 0.0000 0.5000
Dy 0.5000 0.5000 0.5000
Nb 0.0000 0.5000 0.5000
Nb 0.5000 0.5000 0.0000
Ga 0.0000 0.0000 0.5000
Ga 0.0000 0.5000 0.0000
O 0.0843 0.8343 0.2500
O 0.0864 0.4175 0.2519
O 0.0864 0.8344 0.6689
O 0.3345 0.1656 0.7519
O 0.3345 0.5825 0.1689
O 0.3342 0.5842 0.7500
O 0.3748 0.1248 0.2500
O 0.6252 0.8752 0.7500
O 0.6658 0.4158 0.2500
O 0.6655 0.4175 0.8311
O 0.6655 0.8344 0.2481
O 0.9136 0.1656 0.3311
O 0.9136 0.5825 0.7481
O 0.9157 0.1657 0.7500
```

Entry 2:
First-principles (PBEsol) data for BaIr2PbO after structural relaxation, as listed in Alexandria. Values from VASP.

Output
density	10.4	g/cm3
ΔE_f (raw)	1.5781	eV/atom
density of states at the Fermi level	1.0602	states/eV per atom

Quantum ESPRESSO input file:
```
&SYSTEM
  ibrav = 0, nat = 5, ntyp = 4
/
ATOMIC_SPECIES
Ba 137.33 Ba.upf
Ir 192.22 Ir.upf
Pb 207.20 Pb.upf
O 16.00 O.upf
CELL_PARAMETERS angstrom
5.2421 0.0000 0.0000
0.0000 5.2421 0.0000
0.0000 0.0000 4.3266
ATOMIC_POSITIONS crystal
Ba 0.0000 0.0000 0.0000
Ir 0.0000 0.5000 0.0000
Ir 0.5000 0.0000 0.0000
Pb 0.5000 0.5000 0.5000
O 0.0000 0.0000 0.5000
```

Entry 3:
First-principles (PBEsol) data for CuAs2Ir after structural relaxation, as listed in Alexandria. Values from VASP.

Output
density	11.3	g/cm3
density of states at the Fermi level	0.4521	states/eV per atom
E above lowest polymorph	243	meV per atom

Quantum ESPRESSO input file:
```
&SYSTEM
  ibrav = 0, nat = 4, ntyp = 3
/
ATOMIC_SPECIES
Cu 63.55 Cu.upf
As 74.92 As.upf
Ir 192.22 Ir.upf
CELL_PARAMETERS angstrom
0.0000 3.0978 3.0978
3.0978 0.0000 3.0978
3.0978 3.0978 0.0000
ATOMIC_POSITIONS crystal
Cu 0.0000 0.0000 0.0000
As 0.5000 0.5000 0.5000
As 0.7500 0.7500 0.7500
Ir 0.2500 0.2500 0.2500
```

| no. | E (eV/atom) |
| --- | --- |
| 1 | -8.449 |
| 2 | -4.631 |
| 3 | -5.662 |